1.
Below is a crystal of Lu8In3Co relaxed with PBEsol, with properties calculated at the SCAN level.

Calculated values
**Energy**: -1131.32 eV per cell
**Space group**: P6_3mc
**ΔE_f**: -454 meV/atom
**ρ**: 10.3 g/cm3

Lattice parameters (Å, degrees): 9.9731 9.9731 6.7286 90.00 90.00 120.00
With the nearest neighbours (Å) after each atom.
Sites, in units of the cell vectors:
1 Lu 0.0000 0.0000 0.2801  6 In 3.25-3.30, 8 Lu 3.36-3.62
2 Lu 0.0000 0.0000 0.7801  6 In 3.25-3.30, 8 Lu 3.36-3.62
3 Lu 0.0678 0.5339 0.2921  1 Co 2.74
4 Lu 0.1791 0.3583 0.0000  1 Co 2.70, 2 In 2.97
5 Lu 0.1791 0.8209 0.0000  1 Co 2.70, 2 In 2.97
6 Lu 0.3333 0.6667 0.6816  1 Co 2.61
7 Lu 0.3583 0.1791 0.5000  1 Co 2.70, 2 In 2.97
8 Lu 0.4661 0.5339 0.2921  1 Co 2.74
9 Lu 0.4661 0.9322 0.2921  1 Co 2.74
10 Lu 0.5339 0.0678 0.7921  1 Co 2.74
11 Lu 0.5339 0.4661 0.7921  1 Co 2.74
12 Lu 0.6417 0.8209 0.0000  1 Co 2.70, 2 In 2.97
13 Lu 0.6667 0.3333 0.1816  1 Co 2.61
14 Lu 0.8209 0.1791 0.5000  1 Co 2.70, 2 In 2.97
15 Lu 0.8209 0.6417 0.5000  1 Co 2.70, 2 In 2.97
16 Lu 0.9322 0.4661 0.7921  1 Co 2.74
17 In 0.1626 0.3253 0.5382  8 Lu 2.97-3.30
18 In 0.1626 0.8374 0.5382  8 Lu 2.97-3.30
19 In 0.3253 0.1626 0.0382  8 Lu 2.97-3.30
20 In 0.6747 0.8374 0.5382  8 Lu 2.97-3.30
21 In 0.8374 0.1626 0.0382  8 Lu 2.97-3.30
22 In 0.8374 0.6747 0.0382  8 Lu 2.97-3.30
23 Co 0.3333 0.6667 0.0696  7 Lu 2.61-2.74
24 Co 0.6667 0.3333 0.5696  7 Lu 2.61-2.74

2.
Below is a crystal of Lu6InCo2 relaxed with PBEsol, with properties calculated at the SCAN level.

Calculated values
**Energy**: -805.93 eV per cell
**Space group**: Immm
**ΔE_f**: -322 meV/atom
**ρ**: 10.6 g/cm3

Lattice parameters (Å, degrees): 8.0482 8.0482 8.0482 111.46 110.40 106.59
With the nearest neighbours (Å) after each atom.
Sites, in units of the cell vectors:
1 Lu 0.0192 0.2329 0.7863  2 Co 2.69-3.01, 1 In 2.98
2 Lu 0.1884 0.2879 0.4763  3 Co 2.81-3.13, 1 In 3.13
3 Lu 0.1884 0.7121 0.9005  3 Co 2.81-3.13, 1 In 3.13
4 Lu 0.3148 0.0135 0.6987  3 Co 2.64-2.78
5 Lu 0.3148 0.6161 0.3013  3 Co 2.64-2.78
6 Lu 0.4465 0.2329 0.2137  2 Co 2.69-3.01, 1 In 2.98
7 Lu 0.5535 0.7671 0.7863  2 Co 2.69-3.01, 1 In 2.98
8 Lu 0.6852 0.3839 0.6987  3 Co 2.64-2.78
9 Lu 0.6852 0.9865 0.3013  3 Co 2.64-2.78
10 Lu 0.8116 0.2879 0.0995  3 Co 2.81-3.13, 1 In 3.13
11 Lu 0.8116 0.7121 0.5237  3 Co 2.81-3.13, 1 In 3.13
12 Lu 0.9808 0.7671 0.2137  2 Co 2.69-3.01, 1 In 2.98
13 In 0.0000 0.0000 0.0000  8 Lu 2.98-3.13
14 In 0.5000 0.5000 0.0000  12 Lu 3.23-3.45
15 Co 0.1143 0.6143 0.5000  1 Co 2.20
16 Co 0.3763 0.0000 0.3763  1 Co 2.27
17 Co 0.6237 0.0000 0.6237  1 Co 2.27
18 Co 0.8857 0.3857 0.5000  1 Co 2.20

3.
Below is a crystal of Mg2InCo2 relaxed with PBEsol, with properties calculated at the SCAN level.

Calculated values
**Energy**: -154.70 eV per cell
**Space group**: P4/mbm
**ΔE_f**: 118 meV/atom
**ρ**: 5.8 g/cm3

Lattice parameters (Å, degrees): 6.3032 6.3032 4.0595 90.00 90.00 90.00
With the nearest neighbours (Å) after each atom.
Sites, in units of the cell vectors:
1 Mg 0.1665 0.3335 0.0000  6 Co 2.74-2.77, 1 Mg 2.97
2 Mg 0.3335 0.8335 0.0000  6 Co 2.74-2.77, 1 Mg 2.97
3 Mg 0.6665 0.1665 0.0000  6 Co 2.74-2.77, 1 Mg 2.97
4 Mg 0.8335 0.6665 0.0000  6 Co 2.74-2.77, 1 Mg 2.97
5 In 0.0000 0.0000 0.5000  4 Co 2.50
6 In 0.5000 0.5000 0.5000  4 Co 2.50
7 Co 0.1227 0.6227 0.5000  1 Co 2.19
8 Co 0.3773 0.1227 0.5000  1 Co 2.19
9 Co 0.6227 0.8773 0.5000  1 Co 2.19
10 Co 0.8773 0.3773 0.5000  1 Co 2.19

4.
Below is a crystal of MgIn2Co relaxed with PBEsol, with properties calculated at the SCAN level.

Calculated values
**Energy**: -88.75 eV per cell
**Space group**: P2/m
**ΔE_f**: 75 meV/atom
**ρ**: 7.1 g/cm3

Lattice parameters (Å, degrees): 3.0786 3.0788 7.7391 90.00 90.44 90.00
With the nearest neighbours (Å) after each atom.
Sites, in units of the cell vectors:
1 Mg 0.0000 0.0000 0.0000  4 Mg 3.08, 8 In 3.15-3.18
2 In 0.4966 0.5000 0.2966  4 Co 2.69
3 In 0.5034 0.5000 0.7034  4 Co 2.69
4 Co 0.0000 0.0000 0.5000  8 In 2.69

5.
Below is a crystal of MgInCo3 relaxed with PBEsol, with properties calculated at the SCAN level.

Calculated values
**Energy**: -84.06 eV per cell
**Space group**: Pm-3m
**ΔE_f**: 1242 meV/atom
**ρ**: 6.6 g/cm3

Lattice parameters (Å, degrees): 4.2896 4.2896 4.2896 90.00 90.00 90.00
With the nearest neighbours (Å) after each atom.
Sites, in units of the cell vectors:
1 Mg 0.0000 0.0000 0.0000  6 Co 2.14
2 In 0.5000 0.5000 0.5000  12 Co 3.03
3 Co 0.0000 0.0000 0.5000  2 Mg 2.14
4 Co 0.0000 0.5000 0.0000  2 Mg 2.14
5 Co 0.5000 0.0000 0.0000  2 Mg 2.14

6.
Below is a crystal of MgInCo2 relaxed with PBEsol, with properties calculated at the SCAN level.

Calculated values
**Energy**: -71.75 eV per cell
**Space group**: R-3m
**ΔE_f**: 305 meV/atom
**ρ**: 7.2 g/cm3

Lattice parameters (Å, degrees): 8.4505 8.4505 8.4505 19.65 19.65 19.65
With the nearest neighbours (Å) after each atom.
Sites, in units of the cell vectors:
1 Mg 0.0000 0.0000 0.0000  6 Co 2.66, 6 Mg 2.88
2 In 0.5000 0.5000 0.5000  6 Co 2.65, 6 In 2.88
3 Co 0.2497 0.2497 0.2497  3 In 2.65, 3 Mg 2.66, 6 Co 2.88
4 Co 0.7503 0.7503 0.7503  3 In 2.65, 3 Mg 2.66, 6 Co 2.88